Record 1
VASP calculation (SCAN) on a crystal of HfAuSe2N relaxed with PBEsol.

Geometry as POSCAR:
```
HfAuSe2N
1.0
3.9904 0.0000 0.0000
0.0000 5.1698 0.0000
0.0000 0.0000 5.1698
Au N Se Hf
1 1 2 1
direct
0.5000 0.5000 0.5000
0.5000 0.0000 0.0000
0.0000 0.5000 0.0000
0.0000 0.0000 0.5000
0.0000 0.0000 0.0000
```

Results
Space-group type ... P4/mmm (123)
Formation energy without anion corrections ... 0.099 eV per atom



Record 2
VASP calculation (SCAN) on a crystal of HfAuSeN2 relaxed with PBEsol.

Geometry as POSCAR:
```
HfAuSeN2
1.0
-3.7526 -1.0606 0.9177
1.3580 -2.0924 3.1348
-0.4234 3.9216 2.8009
N Se Hf Au
2 1 1 1
direct
0.5000 0.0000 0.0000
0.0000 0.5000 0.0000
0.0000 0.0000 0.5000
0.5000 0.5000 0.5000
0.0000 0.0000 0.0000
```

Results
Space-group type ... P4/mmm (123)
Formation energy without anion corrections ... 1.302 eV per atom



Record 3
VASP calculation (SCAN) on a crystal of HfTlAu2N relaxed with PBEsol.

Geometry as POSCAR:
```
HfTlAu2N
1.0
-0.6956 3.6802 -1.1859
-5.1141 -0.7906 0.5461
0.2729 1.6404 4.9307
Au N Hf Tl
2 1 1 1
direct
0.0000 0.5000 0.0000
0.0000 0.0000 0.5000
0.5000 0.0000 0.0000
0.5000 0.5000 0.5000
0.0000 0.0000 0.0000
```

Results
Space-group type ... P4/mmm (123)
Formation energy without anion corrections ... 1.305 eV per atom



Record 4
VASP calculation (SCAN) on a crystal of NaHfSnAu2 relaxed with PBEsol.

Geometry as POSCAR:
```
NaHfSnAu2
1.0
-0.5907 5.0032 0.9045
-5.0412 -0.4580 -0.7587
-0.6878 -1.0185 5.1845
Hf Au Sn Na
1 2 1 1
direct
0.0000 0.0000 0.5000
0.0000 0.5000 0.0000
0.5000 0.0000 0.0000
0.0000 0.0000 0.0000
0.5000 0.5000 0.5000
```

Results
Energy of formation ... 0.6073 eV/atom
Space-group type ... P4/mmm (123)



Record 5
VASP calculation (SCAN) on a crystal of HfNi2Au2 relaxed with PBEsol.

Geometry as POSCAR:
```
HfNi2Au2
1.0
3.5352 0.0000 0.0000
0.0000 3.5352 0.0000
-1.7676 -1.7676 6.3155
Ni Au Hf
2 2 1
direct
0.7500 0.2500 0.5000
0.2500 0.7500 0.5000
0.3934 0.3934 0.7868
0.6066 0.6066 0.2132
0.0000 0.0000 0.0000
```

Results
Energy of formation ... -0.1694 eV/atom
Space-group type ... I4/mmm (139)



Record 6
VASP calculation (SCAN) on a crystal of Hf2Ni2Au relaxed with PBEsol.

Geometry as POSCAR:
```
Hf2Ni2Au
1.0
3.2370 0.0000 0.0000
0.0000 6.9122 0.0000
0.0000 0.0000 6.9122
Hf Ni Au
4 4 2
direct
0.5000 0.1723 0.6723
0.5000 0.3277 0.1723
0.5000 0.6723 0.8277
0.5000 0.8277 0.3277
0.0000 0.8751 0.6249
0.0000 0.3751 0.8751
0.0000 0.6249 0.1249
0.0000 0.1249 0.3751
0.0000 0.5000 0.5000
0.0000 0.0000 0.0000
```

Results
Energy of formation ... -0.6902 eV/atom
Space-group type ... P4/mbm (127)